(1)
! TlP3Au GGA-PBEsol relaxed; values from VASP
&SYSTEM
  ibrav = 0, nat = 5, ntyp = 3
/
ATOMIC_SPECIES
P 30.97 P.upf
Au 196.97 Au.upf
Tl 204.38 Tl.upf
ATOMIC_POSITIONS crystal
P 0.0000 0.5000 0.0000
P 0.5000 0.0000 0.0000
P 0.0000 0.0000 0.5000
Au 0.5000 0.5000 0.5000
Tl 0.0000 0.0000 0.0000
CELL_PARAMETERS angstrom
-0.5835 -3.5062 -3.4956
4.3170 1.3630 -2.0877
2.4240 -3.2714 2.8766
! **DFT formation energy**: 1763 meV/atom
! **SG**: Pm-3m, No. 221

=====

(2)
! BaCa2Br GGA-PBEsol relaxed; values from VASP
&SYSTEM
  ibrav = 0, nat = 4, ntyp = 3
/
ATOMIC_SPECIES
Ca 40.08 Ca.upf
Ba 137.33 Ba.upf
Br 79.90 Br.upf
ATOMIC_POSITIONS crystal
Ca 0.0000 0.8016 0.9738
Ca 0.5000 0.4321 0.2371
Ba 0.0000 0.0828 0.5431
Br 0.5000 0.6834 0.7460
CELL_PARAMETERS angstrom
-2.1276 3.1590 0.5955
-1.6840 -1.7268 3.1435
8.2823 4.7194 4.5554
! **ΔE_f (raw)**: -64.71 kJ per mole of atoms
! **SG**: Pm, No. 6

=====

(3)
! Ca2Zn GGA-PBEsol relaxed; values from VASP
&SYSTEM
  ibrav = 0, nat = 3, ntyp = 2
/
ATOMIC_SPECIES
Zn 65.41 Zn.upf
Ca 40.08 Ca.upf
ATOMIC_POSITIONS crystal
Zn 0.0000 0.0000 0.0000
Ca 0.2634 0.6667 0.3333
Ca 0.7366 0.3333 0.6667
CELL_PARAMETERS angstrom
-1.6675 -2.7267 -2.5177
-2.4141 -2.1326 3.9085
-2.2042 3.7472 -2.5984
! **DFT formation energy**: 27 meV/atom
! **SG**: P-3m1, No. 164

=====

(4)
! Sr2HoSbO6 GGA-PBEsol relaxed; values from VASP
&SYSTEM
  ibrav = 0, nat = 20, ntyp = 4
/
ATOMIC_SPECIES
O 16.00 O.upf
Ho 164.93 Ho.upf
Sr 87.62 Sr.upf
Sb 121.76 Sb.upf
ATOMIC_POSITIONS crystal
O 0.1994 0.2259 0.9579
O 0.5771 0.0208 0.7369
O 0.7270 0.2976 0.0399
O 0.9229 0.5208 0.7631
O 0.2270 0.2024 0.5399
O 0.0771 0.4792 0.2369
O 0.3006 0.7259 0.5421
O 0.4229 0.9792 0.2631
O 0.2730 0.7024 0.9601
O 0.6994 0.2741 0.4579
O 0.8006 0.7741 0.0421
O 0.7730 0.7976 0.4601
Ho 0.0000 0.5000 0.5000
Ho 0.5000 0.0000 0.0000
Sr 0.9914 0.0345 0.2496
Sr 0.4914 0.4655 0.7496
Sr 0.0086 0.9655 0.7504
Sr 0.5086 0.5345 0.2504
Sb 0.5000 0.0000 0.5000
Sb 0.0000 0.5000 0.0000
CELL_PARAMETERS angstrom
-0.4686 -2.5724 5.1593
-2.8186 -4.4737 -2.4865
7.1556 -3.8297 -1.2209
! **ΔE_f (raw)**: -266.15 kJ per mole of atoms
! **SG**: P2_1/c, No. 14

=====

(5)
! UTe5 GGA-PBEsol relaxed; values from VASP
&SYSTEM
  ibrav = 0, nat = 24, ntyp = 2
/
ATOMIC_SPECIES
Te 127.60 Te.upf
U 238.03 U.upf
ATOMIC_POSITIONS crystal
Te 0.0829 0.5607 0.3364
Te 0.9171 0.0607 0.6636
Te 0.0020 0.9990 0.0004
Te 0.9171 0.4395 0.6627
Te 0.7045 0.7509 0.7381
Te 0.2955 0.2509 0.2619
Te 0.2045 0.2509 0.7619
Te 0.5903 0.2492 0.9620
Te 0.0903 0.7492 0.5380
Te 0.9980 0.4990 0.9996
Te 0.4097 0.7492 0.0380
Te 0.4171 0.9395 0.8373
Te 0.4980 0.9990 0.5004
Te 0.4171 0.5607 0.8364
Te 0.5829 0.4395 0.1627
Te 0.7955 0.7509 0.2381
Te 0.5829 0.0607 0.1636
Te 0.9097 0.2492 0.4620
Te 0.0829 0.9395 0.3373
Te 0.5020 0.4990 0.4996
U 0.9169 0.7494 0.9087
U 0.5831 0.7494 0.4087
U 0.4169 0.2494 0.5913
U 0.0831 0.2494 0.0913
CELL_PARAMETERS angstrom
4.1523 0.0000 0.0000
0.0000 10.0283 0.0000
0.0000 0.0000 17.7853
! **ΔE_f (raw)**: -28.19 kJ per mole of atoms
! **SG**: Pna2_1, No. 33

=====

(6)
! Zr2CrBr GGA-PBEsol relaxed; values from VASP
&SYSTEM
  ibrav = 0, nat = 4, ntyp = 3
/
ATOMIC_SPECIES
Zr 91.22 Zr.upf
Cr 52.00 Cr.upf
Br 79.90 Br.upf
ATOMIC_POSITIONS crystal
Zr 0.0000 0.0000 0.3029
Zr 0.0000 0.0000 0.6971
Cr 0.5000 0.5000 0.5000
Br 0.5000 0.0000 0.0000
CELL_PARAMETERS angstrom
-2.9404 0.2167 1.1453
-0.1492 -3.2228 0.2267
2.8603 0.3792 7.2715
! **ΔE to the lowest computed polymorph**: 0.000 eV/atom
! **ΔE_f (raw)**: -22.38 kJ per mole of atoms
! **SG**: Pmmm, No. 47

=====

(7)
! TaRhIO2 GGA-PBEsol relaxed; values from VASP
&SYSTEM
  ibrav = 0, nat = 5, ntyp = 4
/
ATOMIC_SPECIES
I 126.90 I.upf
O 16.00 O.upf
Rh 102.91 Rh.upf
Ta 180.95 Ta.upf
ATOMIC_POSITIONS crystal
I 0.0000 0.0000 0.5000
O 0.0000 0.5000 0.0000
O 0.5000 0.0000 0.0000
Rh 0.0000 0.0000 0.0000
Ta 0.5000 0.5000 0.5000
CELL_PARAMETERS angstrom
3.9513 0.0000 0.0000
0.0000 3.9513 0.0000
0.0000 0.0000 5.2084
! **ΔE_f (raw)**: 61.19 kJ per mole of atoms
! **SG**: P4/mmm, No. 123

=====

(8)
! Bi2CSe2 GGA-PBEsol relaxed; values from VASP
&SYSTEM
  ibrav = 0, nat = 10, ntyp = 3
/
ATOMIC_SPECIES
C 12.01 C.upf
Bi 208.98 Bi.upf
Se 78.96 Se.upf
ATOMIC_POSITIONS crystal
C 0.0000 0.5000 0.5000
C 0.0000 0.0000 0.0000
Bi 0.5000 0.2111 0.7111
Bi 0.5000 0.7111 0.7889
Bi 0.5000 0.7889 0.2889
Bi 0.5000 0.2889 0.2111
Se 0.0000 0.2450 0.2550
Se 0.0000 0.2550 0.7550
Se 0.0000 0.7450 0.2450
Se 0.0000 0.7550 0.7450
CELL_PARAMETERS angstrom
5.8557 0.0000 0.0000
0.0000 6.2682 0.0000
0.0000 0.0000 6.2682
! **ΔE to the lowest computed polymorph**: 0.055 eV/atom
! **ΔE_f (raw)**: 87.96 kJ per mole of atoms
! **SG**: P4/mbm, No. 127

=====

no.,spin magnetization (Bohr magnetons per cell)
1,0.0
2,0.0
3,0.0
4,0.0
5,7.8
6,0.1
7,1.2
8,0.5